A geometry-optimized BaLiY2O4 structure, computed with PBE-GGA.

Properties
Total magnetic moment   0.00 μB/f.u.
Formation energy (no corrections)   -22.428 eV/f.u.
Total DFT energy (no corrections)   -7.3782 eV/atom
Space group   No. 63

a b c (Å): 3.518 6.107 11.512
angles (deg): 90.00 90.00 106.74
Element x y z (fractional)
Y (0.631, 0.262, 0.446)
Y (0.369, 0.738, 0.554)
Y (0.369, 0.738, 0.946)
Y (0.631, 0.262, 0.054)
O (0.254, 0.508, 0.107)
O (0.410, 0.820, 0.750)
O (0.254, 0.508, 0.393)
O (0.746, 0.492, 0.607)
O (0.000, 0.000, 0.000)
O (0.746, 0.492, 0.893)
O (0.590, 0.180, 0.250)
O (0.000, 0.000, 0.500)
Li (0.826, 0.651, 0.750)
Li (0.174, 0.349, 0.250)
Ba (0.096, 0.192, 0.750)
Ba (0.904, 0.808, 0.250)

---

A geometry-optimized Ba2CaAu2 structure, computed with PBE-GGA.

Properties
E above lowest polymorph   249 meV per atom
Total magnetic moment   0.00 μB/f.u.
Energy of formation from the pure elements   -0.3743 eV per atom
Total DFT energy (no corrections)   -2.8546 eV/atom
Space group   No. 127

a b c (Å): 9.481 9.481 3.829
angles (deg): 90.00 90.00 90.00
Element x y z (fractional)
Ba (0.640, 0.140, 0.000)
Ba (0.860, 0.640, 0.000)
Ba (0.360, 0.860, 0.000)
Ba (0.140, 0.360, 0.000)
Ca (0.000, 0.000, 0.000)
Ca (0.500, 0.500, 0.000)
Au (0.158, 0.658, 0.500)
Au (0.658, 0.842, 0.500)
Au (0.342, 0.158, 0.500)
Au (0.842, 0.342, 0.500)

---

A geometry-optimized AlGa2Tc structure, computed with PBE-GGA.

Properties
E above lowest polymorph   574 meV per atom
Total magnetic moment   1.03 μB/f.u.
Energy of formation from the pure elements   0.3087 eV per atom
Total DFT energy (no corrections)   -4.7318 eV/atom
Space group   No. 122

a b c (Å): 7.267 7.267 5.756
angles (deg): 50.86 50.86 90.00
Element x y z (fractional)
Tc (0.000, 0.000, 0.000)
Tc (0.750, 0.250, 0.500)
Ga (0.641, 0.125, 0.250)
Ga (0.375, 0.359, 0.750)
Ga (0.109, 0.625, 0.250)
Ga (0.875, 0.891, 0.750)
Al (0.250, 0.750, 0.500)
Al (0.500, 0.500, 0.000)